[1]
The following is a DFT calculation (PBE) of a geometry-optimized MoPRh2 structure.

Summary:
ΔE_f	-185.5	meV per atom

```
4
Lattice="8.324 -1.403 0.010 8.324 1.403 0.010 8.085 0.000 2.428" Properties=species:S:1:pos:R:3 pbc="T T T"
Mo 12.366 0.000 1.224
P 0.000 0.000 0.000
Rh 18.323 0.000 1.813
Rh 6.409 0.000 0.634
```


[2]
The following is a DFT calculation (PBE) of a geometry-optimized SmCuPd4 structure.

Summary:
energy above the lowest structure with this stoichiometry	29	meV/atom
ΔE_f	-434.6	meV per atom

```
6
Lattice="5.331 0.000 0.000 2.666 4.617 0.000 2.666 1.539 4.353" Properties=species:S:1:pos:R:3 pbc="T T T"
Cu 0.000 0.000 0.000
Pd 5.331 3.078 0.538
Pd 5.331 1.533 2.723
Pd 6.669 3.850 2.723
Pd 3.993 3.850 2.723
Sm 2.666 1.539 1.088
```


[3]
The following is a DFT calculation (PBE) of a geometry-optimized GdThCoTc structure.

Summary:
ΔE_f	-48.2	meV per atom

```
4
Lattice="4.904 0.000 0.000 2.452 4.247 0.000 2.452 1.416 4.004" Properties=species:S:1:pos:R:3 pbc="T T T"
Gd 2.452 1.416 1.001
Co 0.000 0.000 0.000
Tc 4.904 2.831 2.002
Th 7.356 4.247 3.003
```


[4]
The following is a DFT calculation (PBE) of a geometry-optimized PmHoMg3 structure.

Summary:
energy above the lowest structure with this stoichiometry	57	meV/atom
ΔE_f	17.5	meV per atom

```
10
Lattice="8.755 1.603 1.151 5.530 6.974 1.151 5.530 3.320 6.240" Properties=species:S:1:pos:R:3 pbc="T T T"
Pm 8.563 5.141 3.691
Pm 11.252 6.756 4.850
Ho 3.279 1.969 1.414
Ho 16.536 9.928 7.128
Mg 5.119 3.073 4.088
Mg 6.693 2.235 1.605
Mg 5.119 4.856 1.605
Mg 14.696 8.824 4.453
Mg 14.696 7.041 6.936
Mg 13.123 9.662 6.936
```


no.,magnetization (μB/atom)
1,0.0000
2,0.0000
3,1.5912
4,0.0390